[1]
Sr3SnAs4, relaxed, DFT GGA-PBE; DFT formation energy = -0.81 eV per atom; energy = -4.267 eV/atom; volume = 953.8 Å³ per cell
1.0
8.668 0.000 0.000
0.000 10.112 0.000
0.000 0.000 10.882
Sr As Sn
12 16 4
direct
0.552 0.190 0.945
0.448 0.810 0.445
0.656 0.409 0.250
0.948 0.690 0.055
0.552 0.190 0.555
0.948 0.690 0.445
0.344 0.591 0.750
0.844 0.909 0.750
0.052 0.310 0.945
0.448 0.810 0.055
0.052 0.310 0.555
0.156 0.091 0.250
0.130 0.958 0.968
0.684 0.711 0.250
0.021 0.389 0.250
0.370 0.458 0.468
0.870 0.042 0.468
0.370 0.458 0.032
0.316 0.289 0.750
0.630 0.542 0.532
0.479 0.889 0.750
0.184 0.789 0.250
0.130 0.958 0.532
0.630 0.542 0.968
0.521 0.111 0.250
0.816 0.211 0.750
0.979 0.611 0.750
0.870 0.042 0.032
0.235 0.042 0.750
0.265 0.542 0.250
0.735 0.458 0.750
0.765 0.958 0.250

[2]
Zn2Mo3N, relaxed, DFT GGA-PBE; uncorrected formation energy = -0.16 eV/atom; N(E_F) = 11.556 states/eV per cell; energy = -7.387 eV/atom; volume = 318.4 Å³ per cell
1.0
6.828 0.000 0.000
0.000 6.828 0.000
0.000 0.000 6.828
N Zn Mo
4 8 12
direct
0.625 0.875 0.125
0.125 0.625 0.875
0.875 0.125 0.625
0.375 0.375 0.375
0.070 0.070 0.070
0.930 0.570 0.430
0.680 0.680 0.680
0.570 0.430 0.930
0.320 0.180 0.820
0.820 0.320 0.180
0.180 0.820 0.320
0.430 0.930 0.570
0.207 0.457 0.125
0.125 0.207 0.457
0.957 0.375 0.793
0.707 0.043 0.875
0.375 0.793 0.957
0.293 0.543 0.625
0.793 0.957 0.375
0.625 0.293 0.543
0.457 0.125 0.207
0.875 0.707 0.043
0.043 0.875 0.707
0.543 0.625 0.293

[3]
BeTeI2N, relaxed, DFT GGA-PBE; relative energy among the computed polymorphs = 748 meV/atom; uncorrected formation energy = 1.21 eV/atom; N(E_F) = 3.604 states/eV per cell; energy = -2.453 eV/atom; volume = 145.0 Å³ per cell
1.0
5.426 0.000 0.000
0.000 5.426 0.000
0.000 0.000 4.924
Be N Te I
1 1 1 2
direct
0.000 0.000 0.000
0.500 0.500 0.500
0.000 0.000 0.500
0.500 0.000 0.000
0.000 0.500 0.000

[4]
AcInBiI, relaxed, DFT GGA-PBE; uncorrected formation energy = -0.62 eV/atom; N(E_F) = 1.076 states/eV per cell; energy = -3.694 eV/atom; volume = 140.6 Å³ per cell
1.0
5.837 0.000 0.000
2.919 5.055 0.000
2.919 1.685 4.766
I Ac In Bi
1 1 1 1
direct
0.000 0.000 0.000
0.250 0.250 0.250
0.750 0.750 0.750
0.500 0.500 0.500

[5]
NdThGaAg, relaxed, DFT GGA-PBE; DFT formation energy = -0.29 eV per atom; N(E_F) = 4.977 states/eV per cell; energy = -4.806 eV/atom; volume = 103.6 Å³ per cell
1.0
-0.917 -3.075 -4.183
-0.562 -5.205 0.627
-4.731 -2.237 -0.641
Ag Th Nd Ga
1 1 1 1
direct
0.250 0.250 0.250
0.000 0.000 0.000
0.500 0.500 0.500
0.750 0.750 0.750

[6]
YAl12Ir4, relaxed, DFT GGA-PBE; DFT formation energy = -0.22 eV per atom; N(E_F) = 5.238 states/eV per cell; energy = -5.330 eV/atom; volume = 339.0 Å³ per cell
1.0
-4.531 1.189 5.994
2.432 -7.208 0.050
5.975 4.694 0.367
Ir Y Al
4 1 12
direct
0.000 0.000 0.500
0.000 0.500 0.000
0.500 0.000 0.000
0.500 0.500 0.500
0.000 0.000 0.000
0.502 0.168 0.334
0.666 0.833 0.168
0.832 0.334 0.167
0.666 0.498 0.832
0.168 0.334 0.502
0.832 0.666 0.498
0.334 0.502 0.168
0.168 0.666 0.833
0.833 0.168 0.666
0.498 0.832 0.666
0.167 0.832 0.334
0.334 0.167 0.832

[7]
Sr2TiTc, relaxed, DFT GGA-PBE; relative energy among the computed polymorphs = 0 meV/atom; DFT formation energy = 0.67 eV per atom; N(E_F) = 6.862 states/eV per cell; energy = -4.737 eV/atom; volume = 313.7 Å³ per cell
1.0
11.971 0.000 0.000
0.000 11.971 0.000
5.985 5.985 2.189
Sr Ti Tc
4 2 2
direct
0.375 0.200 0.750
0.950 0.625 0.250
0.800 0.125 0.250
0.875 0.050 0.750
0.250 0.750 0.500
0.500 0.500 0.000
0.000 0.000 0.000
0.750 0.250 0.500

[8]
LaTcTe, relaxed, DFT GGA-PBE; relative energy among the computed polymorphs = 1000 meV/atom; uncorrected formation energy = 0.64 eV/atom; N(E_F) = 6.907 states/eV per cell; energy = -5.508 eV/atom; volume = 96.4 Å³ per cell
1.0
-1.184 -1.816 -4.668
-1.555 -4.876 -0.546
-4.901 -1.019 -1.198
La Te Tc
1 1 1
direct
0.250 0.250 0.250
0.500 0.500 0.500
0.000 0.000 0.000

[9]
LaMgNi2Bi, relaxed, DFT GGA-PBE; DFT formation energy = 0.54 eV per atom; N(E_F) = 2.287 states/eV per cell; energy = -3.857 eV/atom; volume = 124.2 Å³ per cell
1.0
-4.191 1.933 -0.516
-1.130 -0.966 5.562
1.781 4.150 1.083
Bi Mg Ni La
1 1 2 1
direct
0.500 0.500 0.500
0.000 0.000 0.000
0.500 0.000 0.000
0.000 0.000 0.500
0.000 0.500 0.000

[10]
PrEu2Br, relaxed, DFT GGA-PBE; relative energy among the computed polymorphs = 0 meV/atom; uncorrected formation energy = -0.69 eV/atom; N(E_F) = 13.010 states/eV per cell; energy = -7.436 eV/atom; volume = 142.5 Å³ per cell
1.0
-3.230 -1.890 1.038
0.243 -3.547 1.560
-0.383 2.609 10.823
Eu Pr Br
2 1 1
direct
0.738 0.738 0.786
0.262 0.262 0.214
0.500 0.500 0.500
0.000 0.000 0.000

[11]
DySnS2O, relaxed, DFT GGA-PBE; uncorrected formation energy = -1.74 eV/atom; N(E_F) = 1.203 states/eV per cell; energy = -6.102 eV/atom; volume = 208.7 Å³ per cell
1.0
3.803 0.000 0.000
0.000 3.803 0.000
0.000 0.000 14.430
S O Dy Sn
4 2 2 2
direct
0.500 0.000 0.316
0.500 0.000 0.893
0.000 0.500 0.684
0.000 0.500 0.107
0.500 0.500 0.500
0.000 0.000 0.500
0.000 0.500 0.419
0.500 0.000 0.581
0.500 0.000 0.147
0.000 0.500 0.853

[12]
Tb5Tl4Ga, relaxed, DFT GGA-PBE; DFT formation energy = -0.40 eV per atom; N(E_F) = 7.080 states/eV per cell; energy = -3.962 eV/atom; volume = 267.1 Å³ per cell
1.0
3.693 0.000 0.000
0.000 3.693 0.000
0.000 0.000 19.585
Tl Tb Ga
4 5 1
direct
0.000 0.000 0.808
0.000 0.000 0.604
0.000 0.000 0.192
0.000 0.000 0.396
0.500 0.500 0.089
0.500 0.500 0.500
0.500 0.500 0.911
0.500 0.500 0.293
0.500 0.500 0.707
0.000 0.000 0.000

[13]
SiAg2HgO4, relaxed, DFT GGA-PBE; uncorrected formation energy = -1.07 eV/atom; N(E_F) = 2.786 states/eV per cell; energy = -4.976 eV/atom; volume = 121.2 Å³ per cell
1.0
-1.999 -4.024 -1.692
-0.909 -1.410 4.498
-3.221 5.120 -1.595
Hg Ag O Si
1 2 4 1
direct
0.007 0.007 0.014
0.250 0.750 0.501
0.750 0.250 0.501
0.787 0.398 0.186
0.398 0.787 0.186
0.207 0.207 0.809
0.602 0.602 0.809
0.498 0.498 0.995

[14]
MoPtI3, relaxed, DFT GGA-PBE; relative energy among the computed polymorphs = 0 meV/atom; uncorrected formation energy = 0.85 eV/atom; N(E_F) = 3.236 states/eV per cell; energy = -3.450 eV/atom; volume = 164.7 Å³ per cell
1.0
5.482 0.000 0.000
0.000 5.482 0.000
0.000 0.000 5.482
I Mo Pt
3 1 1
direct
0.000 0.000 0.500
0.000 0.500 0.000
0.500 0.000 0.000
0.500 0.500 0.500
0.000 0.000 0.000

[15]
Tl2InRe, relaxed, DFT GGA-PBE; relative energy among the computed polymorphs = 424 meV/atom; DFT formation energy = 0.98 eV per atom; N(E_F) = 3.144 states/eV per cell; energy = -3.996 eV/atom; volume = 89.2 Å³ per cell
1.0
5.419 0.046 0.000
-1.970 5.049 0.000
0.000 0.000 3.251
Tl Re In
2 1 1
direct
0.000 0.000 0.000
0.500 0.500 0.000
0.000 0.500 0.500
0.500 0.000 0.500

[16]
Cd2HgMo, relaxed, DFT GGA-PBE; DFT formation energy = 0.37 eV per atom; N(E_F) = 2.626 states/eV per cell; energy = -2.867 eV/atom; volume = 81.1 Å³ per cell
1.0
-8.990 -1.673 4.958
-7.468 -4.071 5.988
-7.199 -1.401 7.377
Cd Mo Hg
2 1 1
direct
0.006 0.006 0.006
0.494 0.494 0.494
0.750 0.750 0.750
0.250 0.250 0.250

[17]
KScPt2Pb, relaxed, DFT GGA-PBE; DFT formation energy = 0.36 eV per atom; N(E_F) = 4.302 states/eV per cell; energy = -4.285 eV/atom; volume = 135.1 Å³ per cell
1.0
-4.931 0.434 0.200
-0.085 -3.079 4.563
0.471 4.084 2.764
K Sc Pt Pb
1 1 2 1
direct
0.000 0.500 0.000
0.000 0.000 0.000
0.000 0.000 0.500
0.500 0.000 0.000
0.500 0.500 0.500

[18]
ReRh3N, relaxed, DFT GGA-PBE; relative energy among the computed polymorphs = 0 meV/atom; uncorrected formation energy = 0.64 eV/atom; N(E_F) = 9.852 states/eV per cell; energy = -7.929 eV/atom; volume = 67.2 Å³ per cell
1.0
4.065 0.000 0.000
0.000 4.065 0.000
0.000 0.000 4.065
N Rh Re
1 3 1
direct
0.000 0.000 0.000
0.000 0.000 0.500
0.000 0.500 0.000
0.500 0.000 0.000
0.500 0.500 0.500

[19]
HfBeCrSn2, relaxed, DFT GGA-PBE; DFT formation energy = 0.72 eV per atom; N(E_F) = 5.399 states/eV per cell; energy = -5.542 eV/atom; volume = 101.4 Å³ per cell
1.0
4.917 0.000 0.000
0.000 4.194 0.000
0.000 0.000 4.917
Sn Be Cr Hf
2 1 1 1
direct
0.500 0.000 0.000
0.000 0.000 0.500
0.000 0.500 0.000
0.000 0.000 0.000
0.500 0.500 0.500

[20]
CdCu5Au6, relaxed, DFT GGA-PBE; DFT formation energy = -0.05 eV per atom; N(E_F) = 2.311 states/eV per cell; energy = -3.476 eV/atom; volume = 189.7 Å³ per cell
1.0
4.041 1.119 0.000
2.090 8.119 0.000
1.045 4.059 6.224
Cu Au Cd
5 6 1
direct
0.000 0.675 0.650
0.500 0.838 0.324
0.500 0.500 0.000
0.000 0.325 0.350
0.500 0.162 0.676
0.773 0.727 0.000
0.736 0.434 0.660
0.227 0.273 0.000
0.264 0.566 0.340
0.736 0.093 0.340
0.264 0.907 0.660
0.000 0.000 0.000

[21]
Al3CrAu, relaxed, DFT GGA-PBE; relative energy among the computed polymorphs = 0 meV/atom; DFT formation energy = 0.59 eV per atom; N(E_F) = 2.517 states/eV per cell; energy = -4.234 eV/atom; volume = 113.4 Å³ per cell
1.0
4.840 0.000 0.000
0.000 4.840 0.000
0.000 0.000 4.840
Al Cr Au
3 1 1
direct
0.500 0.000 0.000
0.000 0.500 0.000
0.000 0.000 0.500
0.500 0.500 0.500
0.000 0.000 0.000

[22]
CoRe2Ni, relaxed, DFT GGA-PBE; relative energy among the computed polymorphs = 111 meV/atom; DFT formation energy = 0.06 eV per atom; N(E_F) = 5.298 states/eV per cell; energy = -9.381 eV/atom; volume = 51.4 Å³ per cell
1.0
2.603 0.004 0.000
-0.005 2.603 0.000
0.000 0.000 7.579
Re Ni Co
2 1 1
direct
0.000 0.000 0.497
0.000 0.000 0.003
0.500 0.500 0.750
0.500 0.500 0.250

[23]
V4ZnNi15, relaxed, DFT GGA-PBE; DFT formation energy = -0.20 eV per atom; N(E_F) = 15.277 states/eV per cell; energy = -6.422 eV/atom; volume = 226.1 Å³ per cell
1.0
3.561 0.000 0.000
0.000 3.561 0.000
0.000 0.000 17.830
Ni V Zn
15 4 1
direct
0.500 0.500 0.798
0.000 0.500 0.103
0.000 0.500 0.500
0.500 0.500 0.600
0.500 0.000 0.103
0.000 0.500 0.897
0.500 0.500 0.000
0.500 0.000 0.300
0.500 0.000 0.700
0.000 0.500 0.700
0.500 0.500 0.202
0.000 0.500 0.300
0.500 0.000 0.500
0.500 0.500 0.400
0.500 0.000 0.897
0.000 0.000 0.804
0.000 0.000 0.600
0.000 0.000 0.196
0.000 0.000 0.400
0.000 0.000 0.000

[24]
Ho6In2Te, relaxed, DFT GGA-PBE; uncorrected formation energy = -0.49 eV/atom; N(E_F) = 11.969 states/eV per cell; energy = -4.495 eV/atom; volume = 255.0 Å³ per cell
1.0
3.876 0.000 0.000
0.000 8.716 0.000
0.000 -4.358 7.546
Ho In Te
6 2 1
direct
0.000 0.723 0.723
0.500 0.612 0.000
0.500 0.388 0.388
0.000 0.277 0.000
0.000 0.000 0.277
0.500 0.000 0.612
0.000 0.667 0.334
0.000 0.333 0.666
0.500 0.000 0.000